# 1
The following is a DFT calculation (GGA-PBE) of crystalline Mg2SbAu at its relaxed geometry.

a b c (Å): 4.091 4.506 4.509
angles (deg): 90.00 90.01 90.00
Sites, in units of the cell vectors:
1 Mg 0.000 0.000 0.000
2 Mg 0.000 0.500 0.500
3 Sb 0.502 0.000 0.499
4 Au 0.490 0.500 0.999

Magnetic moment ... 0.00 μB per cell
Crystal system ... monoclinic
Total energy ... -2.990 eV/atom
Space-group type ... Pm, No. 6

# 2
The following is a DFT calculation (GGA-PBE) of crystalline MgSb2Au at its relaxed geometry.

a b c (Å): 3.222 4.011 7.513
angles (deg): 90.00 90.00 90.00
Sites, in units of the cell vectors:
1 Mg 0.000 0.000 0.000
2 Sb 0.000 0.000 0.598
3 Sb 0.500 0.500 0.215
4 Au 0.500 0.500 0.816

Magnetic moment ... 0.00 μB per cell
Crystal system ... orthorhombic
Total energy ... -3.393 eV/atom
Space-group type ... Pmm2, No. 25

# 3
The following is a DFT calculation (GGA-PBE) of crystalline MgSb2Au at its relaxed geometry.

a b c (Å): 4.427 4.427 20.607
angles (deg): 90.00 90.00 90.00
Sites, in units of the cell vectors:
1 Mg 0.000 0.000 0.000
2 Mg 0.000 0.500 0.250
3 Mg 0.500 0.000 0.750
4 Mg 0.500 0.500 0.500
5 Sb 0.217 0.250 0.625
6 Sb 0.250 0.717 0.875
7 Sb 0.250 0.783 0.375
8 Sb 0.283 0.250 0.125
9 Sb 0.717 0.750 0.125
10 Sb 0.750 0.217 0.375
11 Sb 0.750 0.283 0.875
12 Sb 0.783 0.750 0.625
13 Au 0.000 0.000 0.500
14 Au 0.000 0.500 0.750
15 Au 0.500 0.000 0.250
16 Au 0.500 0.500 0.000

Magnetic moment ... 0.00 μB per cell
Crystal system ... tetragonal
Total energy ... -3.365 eV/atom
Space-group type ... I-42d, No. 122

# 4
The following is a DFT calculation (GGA-PBE) of crystalline Mg2SbAu2 at its relaxed geometry.

a b c (Å): 7.865 7.865 3.276
angles (deg): 90.00 90.00 90.00
Sites, in units of the cell vectors:
1 Mg 0.160 0.340 0.000
2 Mg 0.340 0.840 0.000
3 Mg 0.660 0.160 0.000
4 Mg 0.840 0.660 0.000
5 Sb 0.000 0.000 0.500
6 Sb 0.500 0.500 0.500
7 Au 0.134 0.634 0.500
8 Au 0.366 0.134 0.500
9 Au 0.634 0.866 0.500
10 Au 0.866 0.366 0.500

Magnetic moment ... 0.00 μB per cell
Crystal system ... tetragonal
Energy above the most stable polymorph in this dataset ... 0.000 eV per formula unit
Space-group type ... P4/mbm, No. 127

# 5
The following is a DFT calculation (GGA-PBE) of crystalline MgSb2Au at its relaxed geometry.

a b c (Å): 3.974 3.974 5.987
angles (deg): 90.00 90.00 90.00
Sites, in units of the cell vectors:
1 Mg 0.000 0.000 0.000
2 Sb 0.500 0.500 0.257
3 Sb 0.500 0.500 0.743
4 Au 0.000 0.000 0.500

Magnetic moment ... 0.00 μB per cell
Crystal system ... tetragonal
Total energy ... -3.307 eV/atom
Space-group type ... P4/mmm, No. 123

# 6
The following is a DFT calculation (GGA-PBE) of crystalline MgSbAu2 at its relaxed geometry.

a b c (Å): 5.826 6.728 4.149
angles (deg): 90.00 90.39 90.00
Sites, in units of the cell vectors:
1 Mg 0.000 0.000 0.000
2 Mg 0.500 0.500 0.000
3 Sb 0.000 0.500 0.000
4 Sb 0.500 0.000 0.000
5 Au 0.250 0.250 0.500
6 Au 0.250 0.750 0.500
7 Au 0.750 0.250 0.500
8 Au 0.750 0.750 0.500

Magnetic moment ... 0.00 μB per cell
Crystal system ... monoclinic
Total energy ... -3.308 eV/atom
Space-group type ... C2/m, No. 12

# 7
The following is a DFT calculation (GGA-PBE) of crystalline MgSb2Au at its relaxed geometry.

a b c (Å): 5.991 8.364 4.947
angles (deg): 90.00 124.50 90.00
Sites, in units of the cell vectors:
1 Mg 0.000 0.000 0.000
2 Mg 0.500 0.500 0.000
3 Sb 0.250 0.250 0.500
4 Sb 0.250 0.750 0.500
5 Sb 0.750 0.250 0.500
6 Sb 0.750 0.750 0.500
7 Au 0.000 0.500 0.000
8 Au 0.500 0.000 0.000

Magnetic moment ... 0.00 μB per cell
Crystal system ... monoclinic
Total energy ... -3.372 eV/atom
Space-group type ... C2/m, No. 12

# 8
The following is a DFT calculation (GGA-PBE) of crystalline MgSbAu at its relaxed geometry.

a b c (Å): 4.439 4.439 11.101
angles (deg): 90.00 90.00 120.00
Sites, in units of the cell vectors:
1 Mg 0.000 0.000 0.250
2 Mg 0.000 0.000 0.750
3 Sb 0.000 0.000 0.000
4 Sb 0.000 0.000 0.500
5 Au 0.333 0.667 0.250
6 Au 0.667 0.333 0.750

Magnetic moment ... 0.00 μB per cell
Crystal system ... hexagonal
Total energy ... -2.531 eV/atom
Space-group type ... P6_3/mmc, No. 194

# 9
The following is a DFT calculation (GGA-PBE) of crystalline MgSb2Au at its relaxed geometry.

a b c (Å): 5.974 8.152 4.233
angles (deg): 90.00 90.00 90.00
Sites, in units of the cell vectors:
1 Mg 0.000 0.000 0.000
2 Mg 0.500 0.500 0.000
3 Sb 0.000 0.277 0.500
4 Sb 0.000 0.723 0.500
5 Sb 0.500 0.223 0.500
6 Sb 0.500 0.777 0.500
7 Au 0.000 0.500 0.000
8 Au 0.500 0.000 0.000

Magnetic moment ... 0.00 μB per cell
Crystal system ... orthorhombic
Total energy ... -3.389 eV/atom
Space-group type ... Cmmm, No. 65

# 10
The following is a DFT calculation (GGA-PBE) of crystalline MgSb2Au at its relaxed geometry.

a b c (Å): 7.244 7.244 7.244
angles (deg): 90.00 90.00 90.00
Sites, in units of the cell vectors:
1 Mg 0.000 0.000 0.000
2 Mg 0.000 0.500 0.500
3 Mg 0.500 0.000 0.500
4 Mg 0.500 0.500 0.000
5 Sb 0.000 0.000 0.500
6 Sb 0.000 0.500 0.000
7 Sb 0.250 0.250 0.750
8 Sb 0.250 0.750 0.250
9 Sb 0.500 0.000 0.000
10 Sb 0.500 0.500 0.500
11 Sb 0.750 0.250 0.250
12 Sb 0.750 0.750 0.750
13 Au 0.250 0.250 0.250
14 Au 0.250 0.750 0.750
15 Au 0.750 0.250 0.750
16 Au 0.750 0.750 0.250

Magnetic moment ... 0.00 μB per cell
Crystal system ... cubic
Total energy ... -3.242 eV/atom
Space-group type ... F-43m, No. 216

# 11
The following is a DFT calculation (GGA-PBE) of crystalline Mg4SbAu15 at its relaxed geometry.

a b c (Å): 4.184 4.184 20.844
angles (deg): 90.00 90.00 90.00
Sites, in units of the cell vectors:
1 Mg 0.000 0.000 0.097
2 Mg 0.000 0.000 0.295
3 Mg 0.000 0.000 0.705
4 Mg 0.000 0.000 0.903
5 Sb 0.000 0.000 0.500
6 Au 0.000 0.500 0.000
7 Au 0.000 0.500 0.195
8 Au 0.000 0.500 0.391
9 Au 0.000 0.500 0.609
10 Au 0.000 0.500 0.805
11 Au 0.500 0.000 0.000
12 Au 0.500 0.000 0.195
13 Au 0.500 0.000 0.391
14 Au 0.500 0.000 0.609
15 Au 0.500 0.000 0.805
16 Au 0.500 0.500 0.097
17 Au 0.500 0.500 0.292
18 Au 0.500 0.500 0.500
19 Au 0.500 0.500 0.708
20 Au 0.500 0.500 0.903

Magnetic moment ... 0.00 μB per cell
Crystal system ... tetragonal
Total energy ... -3.289 eV/atom
Space-group type ... P4/mmm, No. 123

# 12
The following is a DFT calculation (GGA-PBE) of crystalline Mg2SbAu at its relaxed geometry.

a b c (Å): 4.200 4.200 9.610
angles (deg): 90.00 90.00 90.00
Sites, in units of the cell vectors:
1 Mg 0.000 0.000 0.000
2 Mg 0.000 0.500 0.250
3 Mg 0.500 0.000 0.750
4 Mg 0.500 0.500 0.500
5 Sb 0.000 0.500 0.750
6 Sb 0.500 0.000 0.250
7 Au 0.000 0.000 0.500
8 Au 0.500 0.500 0.000

Magnetic moment ... 0.00 μB per cell
Crystal system ... tetragonal
Total energy ... -2.940 eV/atom
Space-group type ... I-4m2, No. 119

# 13
The following is a DFT calculation (GGA-PBE) of crystalline MgSbAu at its relaxed geometry.

a b c (Å): 7.731 4.571 8.078
angles (deg): 90.00 90.00 90.00
Sites, in units of the cell vectors:
1 Mg 0.054 0.250 0.155
2 Mg 0.446 0.750 0.655
3 Mg 0.554 0.250 0.345
4 Mg 0.946 0.750 0.845
5 Sb 0.192 0.250 0.494
6 Sb 0.308 0.750 0.994
7 Sb 0.692 0.250 0.006
8 Sb 0.808 0.750 0.506
9 Au 0.194 0.250 0.834
10 Au 0.306 0.750 0.334
11 Au 0.694 0.250 0.666
12 Au 0.806 0.750 0.166

Magnetic moment ... 0.00 μB per cell
Crystal system ... orthorhombic
Total energy ... -3.256 eV/atom
Space-group type ... Pnma, No. 62

# 14
The following is a DFT calculation (GGA-PBE) of crystalline MgSbAu2 at its relaxed geometry.

a b c (Å): 4.429 4.429 18.214
angles (deg): 90.00 90.00 90.00
Sites, in units of the cell vectors:
1 Mg 0.000 0.000 0.000
2 Mg 0.000 0.500 0.250
3 Mg 0.500 0.000 0.750
4 Mg 0.500 0.500 0.500
5 Sb 0.000 0.000 0.500
6 Sb 0.000 0.500 0.750
7 Sb 0.500 0.000 0.250
8 Sb 0.500 0.500 0.000
9 Au 0.240 0.250 0.125
10 Au 0.250 0.740 0.375
11 Au 0.250 0.760 0.875
12 Au 0.260 0.250 0.625
13 Au 0.740 0.750 0.625
14 Au 0.750 0.240 0.875
15 Au 0.750 0.260 0.375
16 Au 0.760 0.750 0.125

Magnetic moment ... 0.00 μB per cell
Crystal system ... tetragonal
Total energy ... -3.241 eV/atom
Space-group type ... I-42d, No. 122

# 15
The following is a DFT calculation (GGA-PBE) of crystalline Mg2SbAu2 at its relaxed geometry.

a b c (Å): 4.217 4.217 12.214
angles (deg): 90.00 90.00 90.00
Sites, in units of the cell vectors:
1 Mg 0.000 0.500 0.250
2 Mg 0.000 0.500 0.750
3 Mg 0.500 0.000 0.250
4 Mg 0.500 0.000 0.750
5 Sb 0.000 0.000 0.000
6 Sb 0.500 0.500 0.500
7 Au 0.000 0.000 0.387
8 Au 0.000 0.000 0.613
9 Au 0.500 0.500 0.113
10 Au 0.500 0.500 0.887

Magnetic moment ... 0.00 μB per cell
Crystal system ... tetragonal
Energy above the most stable polymorph in this dataset ... 0.804 eV per formula unit
Space-group type ... I4/mmm, No. 139

# 16
The following is a DFT calculation (GGA-PBE) of crystalline Mg3SbAu at its relaxed geometry.

a b c (Å): 5.083 5.083 5.083
angles (deg): 90.00 90.00 90.00
Sites, in units of the cell vectors:
1 Mg 0.000 0.000 0.500
2 Mg 0.000 0.500 0.000
3 Mg 0.500 0.000 0.000
4 Sb 0.500 0.500 0.500
5 Au 0.000 0.000 0.000

Magnetic moment ... 0.00 μB per cell
Crystal system ... cubic
Energy above the most stable polymorph in this dataset ... 0.000 eV per formula unit
Space-group type ... Pm-3m, No. 221

# 17
The following is a DFT calculation (GGA-PBE) of crystalline MgSbAu2 at its relaxed geometry.

a b c (Å): 3.446 3.446 25.077
angles (deg): 90.00 90.00 120.00
Sites, in units of the cell vectors:
1 Mg 0.000 0.000 0.000
2 Mg 0.333 0.667 0.667
3 Mg 0.667 0.333 0.333
4 Sb 0.000 0.000 0.500
5 Sb 0.333 0.667 0.167
6 Sb 0.667 0.333 0.833
7 Au 0.000 0.000 0.254
8 Au 0.000 0.000 0.746
9 Au 0.333 0.667 0.412
10 Au 0.333 0.667 0.921
11 Au 0.667 0.333 0.079
12 Au 0.667 0.333 0.588

Magnetic moment ... 0.00 μB per cell
Crystal system ... trigonal
Total energy ... -3.220 eV/atom
Space-group type ... R-3m, No. 166

# 18
The following is a DFT calculation (GGA-PBE) of crystalline MgSbAu at its relaxed geometry.

a b c (Å): 4.369 4.376 8.972
angles (deg): 76.13 75.97 60.19
Sites, in units of the cell vectors:
1 Mg 0.000 0.000 0.000
2 Mg 0.167 0.170 0.501
3 Sb 0.570 0.574 0.291
4 Sb 0.768 0.768 0.700
5 Au 0.278 0.281 0.165
6 Au 0.387 0.388 0.840

Magnetic moment ... 0.00 μB per cell
Crystal system ... triclinic
Total energy ... -3.262 eV/atom
Space-group type ... P1, No. 1

# 19
The following is a DFT calculation (GGA-PBE) of crystalline MgSbAu4 at its relaxed geometry.

a b c (Å): 4.805 4.819 5.922
angles (deg): 103.30 103.89 105.00
Sites, in units of the cell vectors:
1 Mg 0.000 0.000 0.000
2 Sb 0.500 0.500 0.500
3 Au 0.067 0.446 0.769
4 Au 0.441 0.062 0.764
5 Au 0.559 0.938 0.236
6 Au 0.933 0.554 0.231

Magnetic moment ... 0.00 μB per cell
Crystal system ... triclinic
Energy above the most stable polymorph in this dataset ... 0.000 eV per formula unit
Space-group type ... P-1, No. 2

# 20
The following is a DFT calculation (GGA-PBE) of crystalline MgSbAu at its relaxed geometry.

a b c (Å): 3.239 3.239 12.585
angles (deg): 90.00 90.00 90.00
Sites, in units of the cell vectors:
1 Mg 0.000 0.000 0.000
2 Mg 0.500 0.500 0.500
3 Sb 0.000 0.000 0.693
4 Sb 0.500 0.500 0.193
5 Au 0.000 0.000 0.377
6 Au 0.500 0.500 0.877

Magnetic moment ... 0.00 μB per cell
Crystal system ... tetragonal
Total energy ... -3.224 eV/atom
Space-group type ... I4mm, No. 107

# 21
The following is a DFT calculation (GGA-PBE) of crystalline MgSbAu2 at its relaxed geometry.

a b c (Å): 7.684 4.659 5.302
angles (deg): 90.00 107.48 90.00
Sites, in units of the cell vectors:
1 Mg 0.000 0.000 0.000
2 Mg 0.500 0.500 0.000
3 Sb 0.273 0.500 0.408
4 Sb 0.773 0.000 0.408
5 Au 0.101 0.500 0.806
6 Au 0.384 0.000 0.195
7 Au 0.601 0.000 0.806
8 Au 0.884 0.500 0.195

Magnetic moment ... 0.00 μB per cell
Crystal system ... monoclinic
Total energy ... -3.273 eV/atom
Space-group type ... Cm, No. 8

# 22
The following is a DFT calculation (GGA-PBE) of crystalline MgSbAu at its relaxed geometry.

a b c (Å): 7.750 4.680 7.601
angles (deg): 90.00 90.00 90.00
Sites, in units of the cell vectors:
1 Mg 0.011 0.250 0.228
2 Mg 0.489 0.750 0.728
3 Mg 0.511 0.250 0.272
4 Mg 0.989 0.750 0.772
5 Sb 0.218 0.750 0.067
6 Sb 0.282 0.250 0.567
7 Sb 0.718 0.750 0.433
8 Sb 0.782 0.250 0.933
9 Au 0.106 0.750 0.422
10 Au 0.394 0.250 0.922
11 Au 0.606 0.750 0.078
12 Au 0.894 0.250 0.578

Magnetic moment ... 0.00 μB per cell
Crystal system ... orthorhombic
Total energy ... -3.252 eV/atom
Space-group type ... Pnma, No. 62

# 23
The following is a DFT calculation (GGA-PBE) of crystalline MgSbAu at its relaxed geometry.

a b c (Å): 7.142 6.185 6.040
angles (deg): 90.00 90.00 90.00
Sites, in units of the cell vectors:
1 Mg 0.000 0.000 0.000
2 Mg 0.000 0.500 0.000
3 Mg 0.500 0.000 0.500
4 Mg 0.500 0.500 0.500
5 Sb 0.140 0.250 0.411
6 Sb 0.360 0.750 0.911
7 Sb 0.640 0.250 0.089
8 Sb 0.860 0.750 0.589
9 Au 0.190 0.750 0.345
10 Au 0.310 0.250 0.845
11 Au 0.690 0.750 0.155
12 Au 0.810 0.250 0.655

Magnetic moment ... 0.00 μB per cell
Crystal system ... orthorhombic
Total energy ... -3.232 eV/atom
Space-group type ... Pnma, No. 62

# 24
The following is a DFT calculation (GGA-PBE) of crystalline Mg2SbAu at its relaxed geometry.

a b c (Å): 3.394 3.394 26.497
angles (deg): 90.00 90.00 120.00
Sites, in units of the cell vectors:
1 Mg 0.000 0.000 0.241
2 Mg 0.000 0.000 0.759
3 Mg 0.333 0.667 0.425
4 Mg 0.333 0.667 0.908
5 Mg 0.667 0.333 0.092
6 Mg 0.667 0.333 0.575
7 Sb 0.000 0.000 0.000
8 Sb 0.333 0.667 0.667
9 Sb 0.667 0.333 0.333
10 Au 0.000 0.000 0.500
11 Au 0.333 0.667 0.167
12 Au 0.667 0.333 0.833

Magnetic moment ... 0.00 μB per cell
Crystal system ... trigonal
Total energy ... -2.919 eV/atom
Space-group type ... R-3m, No. 166

# 25
The following is a DFT calculation (GGA-PBE) of crystalline MgSb2Au at its relaxed geometry.

a b c (Å): 4.310 4.310 10.056
angles (deg): 90.00 90.00 90.00
Sites, in units of the cell vectors:
1 Mg 0.000 0.000 0.000
2 Mg 0.500 0.500 0.500
3 Sb 0.000 0.000 0.500
4 Sb 0.000 0.500 0.750
5 Sb 0.500 0.000 0.250
6 Sb 0.500 0.500 0.000
7 Au 0.000 0.500 0.250
8 Au 0.500 0.000 0.750

Magnetic moment ... 0.00 μB per cell
Crystal system ... tetragonal
Total energy ... -3.322 eV/atom
Space-group type ... I-4m2, No. 119

# 26
The following is a DFT calculation (GGA-PBE) of crystalline MgSbAu at its relaxed geometry.

a b c (Å): 4.871 7.559 7.502
angles (deg): 90.00 90.00 90.00
Sites, in units of the cell vectors:
1 Mg 0.000 0.076 0.000
2 Mg 0.000 0.924 0.500
3 Mg 0.500 0.424 0.500
4 Mg 0.500 0.576 0.000
5 Sb 0.000 0.378 0.260
6 Sb 0.000 0.622 0.760
7 Sb 0.500 0.122 0.760
8 Sb 0.500 0.878 0.260
9 Au 0.000 0.267 0.627
10 Au 0.000 0.733 0.127
11 Au 0.500 0.233 0.127
12 Au 0.500 0.767 0.627

Magnetic moment ... 0.00 μB per cell
Crystal system ... orthorhombic
Total energy ... -3.304 eV/atom
Space-group type ... Cmc2_1, No. 36

# 27
The following is a DFT calculation (GGA-PBE) of crystalline MgSb2Au at its relaxed geometry.

a b c (Å): 8.691 4.015 6.487
angles (deg): 90.00 115.67 90.00
Sites, in units of the cell vectors:
1 Mg 0.000 0.000 0.000
2 Mg 0.500 0.500 0.000
3 Sb 0.041 0.500 0.401
4 Sb 0.210 0.000 0.771
5 Sb 0.541 0.000 0.401
6 Sb 0.710 0.500 0.771
7 Au 0.262 0.500 0.189
8 Au 0.762 0.000 0.189

Magnetic moment ... 0.00 μB per cell
Crystal system ... monoclinic
Total energy ... -3.440 eV/atom
Space-group type ... Cm, No. 8